(1)
! TlCuPb (PBE-GGA, optimized geometry); values from VASP
! VASP energy in eV/atom: -2.647
! Formation energy in eV/atom: 0.74
&SYSTEM
  ibrav = 0, nat = 6, ntyp = 3
/
ATOMIC_SPECIES
Tl 204.38 Tl.upf
Cu 63.55 Cu.upf
Pb 207.20 Pb.upf
ATOMIC_POSITIONS angstrom
Tl -4.673 5.803 5.327
Tl -1.558 1.934 1.776
Cu -3.221 0.083 2.333
Cu -6.743 5.469 3.874
Pb 0.000 0.000 0.000
Pb -3.115 3.868 3.551
CELL_PARAMETERS angstrom
-2.477 1.184 -3.462
-1.257 -3.369 2.567
-6.230 7.737 7.102

(2)
! Tl2CuPb (PBE-GGA, optimized geometry); values from VASP
! VASP energy in eV/atom: -2.893
! Formation energy in eV/atom: 0.24
&SYSTEM
  ibrav = 0, nat = 4, ntyp = 3
/
ATOMIC_SPECIES
Cu 63.55 Cu.upf
Tl 204.38 Tl.upf
Pb 207.20 Pb.upf
ATOMIC_POSITIONS angstrom
Cu 0.227 -3.114 0.223
Tl 0.373 -0.274 -0.100
Tl 2.860 -2.341 1.036
Pb 3.460 -5.729 1.159
CELL_PARAMETERS angstrom
-2.780 -3.613 -0.491
2.628 -1.742 -2.056
3.839 -3.487 3.928

(3)
! TlCuPb (PBE-GGA, optimized geometry); values from VASP
! VASP energy in eV/atom: -3.138
! Formation energy in eV/atom: 0.25
&SYSTEM
  ibrav = 0, nat = 3, ntyp = 3
/
ATOMIC_SPECIES
Cu 63.55 Cu.upf
Pb 207.20 Pb.upf
Tl 204.38 Tl.upf
ATOMIC_POSITIONS angstrom
Cu -0.002 -0.013 0.017
Pb -2.113 -1.880 -0.319
Tl 0.124 -3.963 1.018
CELL_PARAMETERS angstrom
-4.457 -0.366 -0.882
2.933 -2.991 -1.798
-0.466 -2.498 3.395

(4)
! Tl2CuPb2 (PBE-GGA, optimized geometry); values from VASP
! VASP energy in eV/atom: -3.072
! Formation energy in eV/atom: 0.18
! Distance to the lowest polymorph of the same formula in meV/atom: 0.0
&SYSTEM
  ibrav = 0, nat = 10, ntyp = 3
/
ATOMIC_SPECIES
Cu 63.55 Cu.upf
Pb 207.20 Pb.upf
Tl 204.38 Tl.upf
ATOMIC_POSITIONS angstrom
Cu 3.625 3.625 0.000
Cu 0.000 0.000 0.000
Pb 1.139 2.487 0.000
Pb 6.112 4.764 0.000
Pb 2.487 6.112 0.000
Pb 4.764 1.139 0.000
Tl 6.075 2.449 2.791
Tl 1.176 4.802 2.791
Tl 2.449 1.176 2.791
Tl 4.802 6.075 2.791
CELL_PARAMETERS angstrom
7.251 0.000 0.000
0.000 7.251 0.000
0.000 0.000 5.583